1.
Li8PtAu2: optimized geometry, PBE-GGA.

CIF file:
```
data_Li8PtAu2
_cell_length_a 7.2504
_cell_length_b 7.2504
_cell_length_c 6.1537
_cell_angle_alpha 106.69
_cell_angle_beta 106.69
_cell_angle_gamma 33.07
_symmetry_space_group_name_H-M 'P 1'
_symmetry_Int_Tables_number 1
loop_
_symmetry_equiv_pos_as_xyz
'x,y,z'
loop_
_atom_site_label
_atom_site_fract_x
_atom_site_fract_y
_atom_site_fract_z
Li1 0.0373 0.0373 0.2520
Li2 0.1447 0.1447 0.6869
Li3 0.3275 0.3275 0.5932
Li4 0.3974 0.3974 0.0611
Li5 0.6026 0.6026 0.9389
Li6 0.6725 0.6725 0.4068
Li7 0.8553 0.8553 0.3131
Li8 0.9627 0.9627 0.7480
Pt1 0.5000 0.5000 0.5000
Au1 0.2157 0.2157 0.1529
Au2 0.7843 0.7843 0.8471
```

Values from the calculation:
Total moment: 0.00 μB/f.u.
N(E_F): 3.20 states/eV/cell
E above lowest polymorph: 0 meV per atom

---

2.
Li6PtAu8: optimized geometry, PBE-GGA.

CIF file:
```
data_Li6PtAu8
_cell_length_a 9.8151
_cell_length_b 9.8151
_cell_length_c 2.8931
_cell_angle_alpha 90.00
_cell_angle_beta 90.00
_cell_angle_gamma 120.00
_symmetry_space_group_name_H-M 'P 1'
_symmetry_Int_Tables_number 1
loop_
_symmetry_equiv_pos_as_xyz
'x,y,z'
loop_
_atom_site_label
_atom_site_fract_x
_atom_site_fract_y
_atom_site_fract_z
Li1 0.1054 0.6374 0.0000
Li2 0.3626 0.4680 0.0000
Li3 0.4680 0.1054 0.0000
Li4 0.5320 0.8946 0.0000
Li5 0.6374 0.5320 0.0000
Li6 0.8946 0.3626 0.0000
Pt1 0.0000 0.0000 0.0000
Au1 0.0993 0.3228 0.5000
Au2 0.2234 0.9007 0.5000
Au3 0.3228 0.2234 0.5000
Au4 0.3333 0.6667 0.5000
Au5 0.6667 0.3333 0.5000
Au6 0.6772 0.7766 0.5000
Au7 0.7766 0.0993 0.5000
Au8 0.9007 0.6772 0.5000
```

Values from the calculation:
Total moment: 0.00 μB/f.u.
N(E_F): 3.96 states/eV/cell
E above lowest polymorph: 110 meV per atom

---

3.
Li2Pt2Au: optimized geometry, PBE-GGA.

CIF file:
```
data_Li2Pt2Au
_cell_length_a 8.6010
_cell_length_b 3.9765
_cell_length_c 6.1257
_cell_angle_alpha 90.00
_cell_angle_beta 133.76
_cell_angle_gamma 90.00
_symmetry_space_group_name_H-M 'P 1'
_symmetry_Int_Tables_number 1
loop_
_symmetry_equiv_pos_as_xyz
'x,y,z'
loop_
_atom_site_label
_atom_site_fract_x
_atom_site_fract_y
_atom_site_fract_z
Li1 0.1989 0.0000 0.2966
Li2 0.3011 0.5000 0.7034
Li3 0.6989 0.5000 0.2966
Li4 0.8011 0.0000 0.7034
Pt1 0.1012 0.5000 0.9073
Pt2 0.3988 0.0000 0.0927
Pt3 0.6012 0.0000 0.9073
Pt4 0.8988 0.5000 0.0927
Au1 0.0000 0.0000 0.5000
Au2 0.5000 0.5000 0.5000
```

Values from the calculation:
Total moment: 0.00 μB/f.u.
N(E_F): 7.45 states/eV/cell
E above lowest polymorph: 0 meV per atom

---

4.
Li2PtAu2: optimized geometry, PBE-GGA.

CIF file:
```
data_Li2PtAu2
_cell_length_a 7.0293
_cell_length_b 7.0293
_cell_length_c 2.9863
_cell_angle_alpha 90.00
_cell_angle_beta 90.00
_cell_angle_gamma 90.00
_symmetry_space_group_name_H-M 'P 1'
_symmetry_Int_Tables_number 1
loop_
_symmetry_equiv_pos_as_xyz
'x,y,z'
loop_
_atom_site_label
_atom_site_fract_x
_atom_site_fract_y
_atom_site_fract_z
Li1 0.1327 0.3673 0.0000
Li2 0.3673 0.8673 0.0000
Li3 0.6327 0.1327 0.0000
Li4 0.8673 0.6327 0.0000
Pt1 0.0000 0.0000 0.0000
Pt2 0.5000 0.5000 0.0000
Au1 0.1679 0.6679 0.5000
Au2 0.3321 0.1679 0.5000
Au3 0.6679 0.8321 0.5000
Au4 0.8321 0.3321 0.5000
```

Values from the calculation:
Total moment: 0.00 μB/f.u.
N(E_F): 3.19 states/eV/cell
E above lowest polymorph: 8 meV per atom

---

The formation energy results, record by record, are as follows: -0.4134 -0.2701 -0.3798 -0.3274 eV/atom.